12
Lattice="4.809 -0.832 1.992 0.681 8.220 1.913 1.654 0.476 7.319" Properties=species:S:1:pos:R:3 comment="Li4In7Pd | Alexandria via LeMat-Bulk | PBE-GGA | relaxed" density_kg_m3=5989 magmom_total_mub_per_cell=0.00 dft_energy_ev_per_atom=-2.8920 pbc="T T T"
In 4.088 4.543 7.586
In 2.026 0.696 4.423
In 3.057 3.321 3.638
In 5.118 7.169 6.802
In 0.985 5.386 2.767
In 6.159 2.479 8.458
In 2.405 -0.416 0.996
Li 3.999 2.007 6.193
Li 3.146 5.857 5.032
Li 0.856 2.120 1.719
Li 6.289 5.744 9.506
Pd 0.000 0.000 0.000


14
Lattice="-5.851 2.338 -1.586 0.206 -1.183 6.386 4.559 4.363 -1.547" Properties=species:S:1:pos:R:3 comment="Li5InPd8 | Alexandria via LeMat-Bulk | PBE-GGA | relaxed" density_kg_m3=7870 magmom_total_mub_per_cell=0.00 dft_energy_ev_per_atom=-4.1545 pbc="T T T"
Pd 0.554 4.008 3.648
Pd -0.380 -0.198 4.434
Pd 1.892 1.397 3.865
Pd -2.740 2.888 -0.035
Pd 0.409 5.105 0.094
Pd -1.732 1.648 2.583
Pd -2.314 5.009 -2.030
Pd -0.031 2.217 0.455
Li -1.304 4.078 1.806
Li 2.556 4.781 -1.373
Li -0.646 3.351 -1.566
Li 0.440 0.290 1.985
Li -3.863 1.888 4.088
In 2.060 3.266 1.636


4
Lattice="-3.265 1.372 -0.419 -1.525 -4.040 -1.342 -0.991 -1.049 4.286" Properties=species:S:1:pos:R:3 comment="LiIn2Pd | Alexandria via LeMat-Bulk | PBE-GGA | relaxed" density_kg_m3=7811 de_polymorph_kj_per_mol_atoms=6.52 magmom_total_mub_per_cell=0.00 pbc="T T T"
In -0.763 -2.020 -0.671
In -0.496 -0.525 2.143
Pd -2.891 -1.859 1.262
Li -1.632 0.686 -0.210


11
Lattice="-4.706 -1.417 4.602 6.672 -0.385 0.818 1.928 6.123 -2.030" Properties=species:S:1:pos:R:3 comment="Li6InPd4 | Alexandria via LeMat-Bulk | PBE-GGA | relaxed" density_kg_m3=5090 magmom_total_mub_per_cell=0.00 dft_energy_ev_per_atom=-3.4447 pbc="T T T"
Pd 2.746 3.552 -1.012
Pd 4.866 3.860 0.715
Pd 0.449 1.410 2.475
Pd 4.433 1.238 0.001
Li -1.389 2.353 1.286
Li 6.969 2.458 -0.185
Li 4.819 5.408 -1.475
Li 2.522 2.464 1.430
Li -1.816 -0.270 2.410
Li 0.983 -0.901 2.710
In 0.000 0.000 0.000


8
Lattice="-1.775 7.472 -3.252 -7.776 -2.548 -1.609 -5.565 3.334 0.004" Properties=species:S:1:pos:R:3 comment="LiIn2Pd | Alexandria via LeMat-Bulk | PBE-GGA | relaxed" density_kg_m3=6059 de_polymorph_kj_per_mol_atoms=27.60 magmom_total_mub_per_cell=0.00 pbc="T T T"
Li -4.776 2.462 -2.430
Li -9.059 1.624 -2.018
In -6.353 -0.331 -1.191
In -3.593 5.691 -2.453
In -13.058 6.637 -4.359
In -7.229 4.519 -1.711
Pd 0.000 0.000 0.000
Pd -6.058 6.634 -2.839


9
Lattice="-2.455 -1.225 0.515 2.538 -6.976 -1.823 2.867 -4.606 5.384" Properties=species:S:1:pos:R:3 comment="Li6InPd2 | Alexandria via LeMat-Bulk | PBE-GGA | relaxed" density_kg_m3=4372 de_polymorph_kj_per_mol_atoms=3.92 magmom_total_mub_per_cell=0.00 pbc="T T T"
Li 2.699 -7.533 4.972
Li 0.456 -3.729 3.824
Li 1.433 -6.771 0.904
Li 1.536 -6.027 3.168
Li 0.240 -5.280 -0.894
Li 2.483 -9.084 0.255
Pd 1.791 -3.910 1.204
Pd 1.161 -8.895 2.872
In 0.000 -0.001 0.000


13
Lattice="-3.442 0.155 -4.067 1.776 -0.385 -5.011 -1.436 -9.279 -2.632" Properties=species:S:1:pos:R:3 comment="Li2In3Pd8 | Alexandria via LeMat-Bulk | PBE-GGA | relaxed" density_kg_m3=8822 magmom_total_mub_per_cell=0.00 dft_energy_ev_per_atom=-4.3443 pbc="T T T"
Pd -2.405 -7.948 -8.748
Pd 0.074 -3.040 -5.411
Pd -1.655 -2.962 -7.453
Pd -0.697 -1.561 -2.963
Pd -3.176 -6.468 -6.300
Pd -0.556 -6.739 -6.774
Pd -1.448 -6.546 -4.257
Pd -2.547 -2.769 -4.937
Li -1.189 -0.968 -6.018
Li -1.914 -8.540 -5.693
In -0.946 -4.158 -2.851
In 0.000 0.000 0.000
In -2.156 -5.350 -8.859


9
Lattice="-5.163 -0.729 1.242 -0.035 -3.317 -4.209 1.858 -3.634 3.474" Properties=species:S:1:pos:R:3 comment="Li6In2Pd | Alexandria via LeMat-Bulk | PBE-GGA | relaxed" density_kg_m3=4129 magmom_total_mub_per_cell=0.00 dft_energy_ev_per_atom=-2.7792 pbc="T T T"
Li 0.696 -4.819 1.005
Li -1.033 -3.947 2.842
Li -4.037 -2.861 -0.498
Li -2.308 -3.734 -2.335
Li 0.058 -4.713 -1.583
Li -3.399 -2.968 2.090
Pd 0.000 0.000 0.000
In -1.087 -2.496 0.165
In -2.254 -5.184 0.342


3
Lattice="3.372 0.000 0.000 0.000 3.372 0.000 -1.686 -1.686 4.395" Properties=species:S:1:pos:R:3 comment="LiInPd | Alexandria via LeMat-Bulk | PBE-GGA | relaxed" density_kg_m3=7580 magmom_total_mub_per_cell=0.00 dft_energy_ev_per_atom=-3.7660 pbc="T T T"
Li 1.686 1.686 0.935
In 0.000 0.000 2.507
Pd 1.686 1.686 4.030


6
Lattice="3.434 0.000 0.000 0.000 3.434 0.000 0.000 0.000 9.516" Properties=species:S:1:pos:R:3 comment="Li2In3Pd | Alexandria via LeMat-Bulk | PBE-GGA | relaxed" density_kg_m3=6878 magmom_total_mub_per_cell=0.00 dft_energy_ev_per_atom=-3.2333 pbc="T T T"
In 0.000 0.000 3.204
In 0.000 0.000 0.000
In 0.000 0.000 6.312
Li 1.717 1.717 7.923
Li 1.717 1.717 1.593
Pd 1.717 1.717 4.758


9
Lattice="-4.677 -1.966 1.109 -0.507 -2.552 -4.515 1.840 -4.113 2.618" Properties=species:S:1:pos:R:3 comment="Li6InPd2 | Alexandria via LeMat-Bulk | PBE-GGA | relaxed" density_kg_m3=4400 de_polymorph_kj_per_mol_atoms=0.00 magmom_total_mub_per_cell=0.00 pbc="T T T"
Li -0.748 -2.333 -1.608
Li 0.017 -2.841 0.717
Li -2.597 -6.299 0.820
Li -3.362 -5.790 -1.505
Li -0.908 -4.824 1.929
Li -2.437 -3.807 -2.717
In 0.000 0.000 0.000
Pd -0.661 -5.104 -0.899
Pd -2.684 -3.528 0.111


8
Lattice="4.483 0.000 1.323 2.046 3.989 1.323 0.034 0.021 8.140" Properties=species:S:1:pos:R:3 comment="LiIn4Pd3 | Alexandria via LeMat-Bulk | PBE-GGA | relaxed" density_kg_m3=8977 magmom_total_mub_per_cell=0.00 dft_energy_ev_per_atom=-4.0212 pbc="T T T"
In 0.846 0.517 5.389
In 4.072 2.488 2.714
In 2.490 1.521 8.073
In 5.717 3.493 5.398
Pd 3.281 2.005 5.393
Pd 4.893 2.989 8.189
Pd 1.670 1.020 2.597
Li 0.000 0.000 0.000